(1)
A plane-wave DFT calculation with PBE was carried out for a geometry-optimized Mg6CdSnO8 structure.

a = 4.519 Å, b = 4.519 Å, c = 9.033 Å
α = 90.00°, β = 90.00°, γ = 90.00°
Positions (direct):
Mg 0.500 0.500 0.000
Mg 0.500 0.500 0.500
Mg 0.000 0.500 0.258
Mg 0.000 0.500 0.742
Mg 0.500 0.000 0.258
Mg 0.500 0.000 0.742
Cd 0.000 0.000 0.500
Sn 0.000 0.000 0.000
O 0.000 0.000 0.252
O 0.000 0.000 0.748
O 0.500 0.500 0.251
O 0.500 0.500 0.749
O 0.000 0.500 0.000
O 0.000 0.500 0.500
O 0.500 0.000 0.000
O 0.500 0.000 0.500

## Properties
- Space-group type: No. 123
- Energy above the most stable polymorph in this dataset: 45 meV per atom


(2)
A plane-wave DFT calculation with PBE was carried out for a geometry-optimized MgTaCd2O6 structure.

a = 5.430 Å, b = 5.633 Å, c = 7.950 Å
α = 90.00°, β = 89.83°, γ = 90.00°
Positions (direct):
Mg 0.500 0.000 0.000
Mg 0.000 0.500 0.500
Ta 0.500 0.000 0.500
Ta 0.000 0.500 0.000
Cd 0.019 0.949 0.251
Cd 0.519 0.551 0.751
Cd 0.981 0.051 0.749
Cd 0.481 0.449 0.249
O 0.290 0.702 0.055
O 0.790 0.798 0.555
O 0.710 0.298 0.945
O 0.210 0.202 0.445
O 0.304 0.712 0.434
O 0.804 0.788 0.934
O 0.696 0.288 0.566
O 0.196 0.212 0.066
O 0.885 0.544 0.240
O 0.385 0.956 0.740
O 0.115 0.456 0.760
O 0.615 0.044 0.260

## Properties
- Space-group type: No. 14
- Total energy: -6.380 eV per atom


(3)
A plane-wave DFT calculation with PBE was carried out for a geometry-optimized Mg2TaCdO6 structure.

a = 6.840 Å, b = 7.135 Å, c = 7.135 Å
α = 80.84°, β = 69.89°, γ = 69.89°
Positions (direct):
Mg 0.360 0.713 0.616
Mg 0.140 0.384 0.287
Mg 0.640 0.287 0.384
Mg 0.860 0.616 0.713
Ta 0.250 0.144 0.856
Ta 0.750 0.856 0.144
Cd 0.250 0.789 0.211
Cd 0.750 0.211 0.789
O 0.225 0.893 0.845
O 0.275 0.155 0.107
O 0.775 0.107 0.155
O 0.725 0.845 0.893
O 0.503 0.824 0.347
O 0.997 0.653 0.176
O 0.497 0.176 0.653
O 0.003 0.347 0.824
O 0.114 0.698 0.539
O 0.386 0.461 0.302
O 0.886 0.302 0.461
O 0.614 0.539 0.698

## Properties
- Space-group type: No. 15
- Total energy: -6.624 eV per atom


(4)
A plane-wave DFT calculation with PBE was carried out for a geometry-optimized MgCd2TcO6 structure.

a = 5.436 Å, b = 5.527 Å, c = 7.817 Å
α = 90.00°, β = 90.09°, γ = 90.00°
Positions (direct):
Mg 0.500 0.000 0.000
Mg 0.000 0.500 0.500
Cd 0.007 0.956 0.251
Cd 0.507 0.544 0.751
Cd 0.993 0.044 0.749
Cd 0.493 0.456 0.249
Tc 0.500 0.000 0.500
Tc 0.000 0.500 0.000
O 0.294 0.689 0.048
O 0.794 0.811 0.548
O 0.706 0.311 0.952
O 0.206 0.189 0.452
O 0.318 0.710 0.446
O 0.818 0.790 0.946
O 0.682 0.290 0.554
O 0.182 0.210 0.054
O 0.903 0.538 0.240
O 0.403 0.962 0.740
O 0.097 0.462 0.760
O 0.597 0.038 0.260

## Properties
- Space-group type: No. 14
- Total energy: -5.806 eV per atom


(5)
A plane-wave DFT calculation with PBE was carried out for a geometry-optimized Mg2CdTcO6 structure.

a = 5.316 Å, b = 5.315 Å, c = 5.680 Å
α = 62.10°, β = 62.09°, γ = 60.00°
Positions (direct):
Mg 0.520 0.520 0.440
Mg 0.017 0.017 0.949
Cd 0.797 0.797 0.608
Tc 0.318 0.318 0.045
O 0.578 0.246 0.228
O 0.246 0.948 0.228
O 0.948 0.578 0.228
O 0.378 0.709 0.763
O 0.709 0.150 0.763
O 0.150 0.378 0.763

## Properties
- Space-group type: No. 146
- Total energy: -6.202 eV per atom


(6)
A plane-wave DFT calculation with PBE was carried out for a geometry-optimized MgCd4Tc4O12 structure.

a = 7.985 Å, b = 5.571 Å, c = 5.703 Å
α = 88.46°, β = 90.00°, γ = 90.00°
Positions (direct):
Mg 0.500 0.653 0.724
Cd 0.500 0.336 0.411
Cd 0.500 0.080 0.975
Cd 0.000 0.467 0.522
Cd 0.000 0.978 0.020
Tc 0.237 0.516 0.022
Tc 0.759 0.995 0.510
Tc 0.763 0.516 0.022
Tc 0.241 0.995 0.510
O 0.293 0.825 0.828
O 0.693 0.327 0.707
O 0.789 0.195 0.201
O 0.184 0.704 0.317
O 0.211 0.195 0.201
O 0.816 0.704 0.317
O 0.707 0.825 0.828
O 0.307 0.327 0.707
O 0.500 0.912 0.443
O 0.500 0.499 0.069
O 0.000 0.058 0.611
O 0.000 0.548 0.916

## Properties
- Space-group type: No. 6
- Energy above the most stable polymorph in this dataset: 32 meV per atom